Below is an optimized crystal structure of FeRe2Se, with properties calculated at the PBE-GGA level.

Computed properties:
* symmetry: Pmmm, No. 47
* energy relative to the elements, uncorrected: 0.5958 eV/atom
* total DFT energy (no corrections): -8.615 eV per atom

a = 2.9929 Å, b = 4.4241 Å, c = 4.4444 Å
α = 90.00°, β = 90.00°, γ = 90.00°
Last column: nearest neighbours and their distance in Å.
Fractional positions:
1 Fe 0.0000 0.5000 0.5000  4 Se 2.67, 4 Re 2.68
2 Se 0.5000 0.0000 0.5000  4 Fe 2.67, 4 Re 2.68
3 Re 0.0000 0.0000 0.0000  4 Re 2.67, 4 Se 2.68
4 Re 0.5000 0.5000 0.0000  4 Re 2.67, 4 Fe 2.68